Run w
First-principles (PBE) data for an optimized crystal structure of RbMn2Ir, as listed in Alexandria.

Computed properties:
Magnetic moment in μB/cell: 0.00

Cell lengths 6.316, 6.316, 6.316 Å; angles 90.00, 90.00, 90.00 degrees
Space group Fm-3m (No. 225)
Asymmetric unit:
Rb1 0.000 0.000 0.000 (multiplicity 4)
Mn1 0.250 0.250 0.250 (multiplicity 8)
Ir1 0.000 0.000 0.500 (multiplicity 4)

***

Run x
First-principles (PBE) data for an optimized crystal structure of RbMn2Ir, as listed in Alexandria.

Computed properties:
Magnetic moment in μB/cell: 1.44

Cell lengths 4.862, 4.862, 16.194 Å; angles 90.00, 90.00, 90.00 degrees
Space group I4_1/amd (No. 141, origin choice 2)
Asymmetric unit:
Rb1 0.000 0.250 0.375 (multiplicity 4)
Mn1 0.000 0.000 0.000 (multiplicity 8)
Ir1 0.000 0.250 0.875 (multiplicity 4)

***

The structure with the least stability is run w.

***

Run w
First-principles (PBE) data for an optimized crystal structure of MnReIr2, as listed in Alexandria.

Computed properties:
Magnetic moment in μB/cell: 0.64

Cell lengths 2.717, 4.287, 4.740 Å; angles 90.00, 90.00, 90.00 degrees
Space group Pmm2 (No. 25)
Asymmetric unit:
Mn1 0.000 0.000 0.000 (multiplicity 1)
Re1 0.000 0.500 0.677 (multiplicity 1)
Ir1 0.500 0.000 0.500 (multiplicity 1)
Ir2 0.500 0.500 0.156 (multiplicity 1)

***

Run x
First-principles (PBE) data for an optimized crystal structure of MnReIr2, as listed in Alexandria.

Computed properties:
Magnetic moment in μB/cell: 0.00

Cell lengths 2.703, 2.703, 7.566 Å; angles 90.00, 90.00, 90.00 degrees
Space group P4mm (No. 99)
Asymmetric unit:
Mn1 0.000 0.000 0.000 (multiplicity 1)
Re1 0.500 0.500 0.251 (multiplicity 1)
Ir1 0.000 0.000 0.501 (multiplicity 1)
Ir2 0.500 0.500 0.779 (multiplicity 1)

***

Run y
First-principles (PBE) data for an optimized crystal structure of MnReIr2, as listed in Alexandria.

Computed properties:
Magnetic moment in μB/cell: 8.69

Cell lengths 2.7634, 2.7634, 26.0939 Å; angles 90.00, 90.00, 120.00 degrees
Space group R-3m (No. 166, hexagonal axes)
Asymmetric unit:
Mn1 0.0000 0.0000 0.0000 (multiplicity 3)
Re1 0.0000 0.0000 0.5000 (multiplicity 3)
Ir1 0.0000 0.0000 0.2514 (multiplicity 6)

***

Run z
First-principles (PBE) data for an optimized crystal structure of MnReIr2, as listed in Alexandria.

Computed properties:
Magnetic moment in μB/cell: 2.30

Cell lengths 2.727, 3.820, 5.409 Å; angles 90.00, 90.00, 90.00 degrees
Space group Pmmm (No. 47)
Asymmetric unit:
Mn1 0.000 0.000 0.000 (multiplicity 1)
Re1 0.000 0.000 0.500 (multiplicity 1)
Ir1 0.500 0.500 0.248 (multiplicity 2)

***

The structure with the least stability is run y.

***

Run w
First-principles (PBE) data for an optimized crystal structure of MnReIr2, as listed in Alexandria.

Computed properties:
Magnetic moment in μB/cell: 2.75

Cell lengths 3.820, 3.820, 7.643 Å; angles 90.00, 90.00, 90.00 degrees
Space group I-4m2 (No. 119)
Asymmetric unit:
Mn1 0.000 0.000 0.000 (multiplicity 2)
Re1 0.000 0.500 0.750 (multiplicity 2)
Ir1 0.000 0.000 0.500 (multiplicity 2)
Ir2 0.000 0.500 0.250 (multiplicity 2)

***

Run x
First-principles (PBE) data for an optimized crystal structure of MnReIr2, as listed in Alexandria.

Computed properties:
Magnetic moment in μB/cell: 5.26

Cell lengths 2.817, 4.368, 9.372 Å; angles 90.00, 90.00, 90.00 degrees
Space group Imm2 (No. 44)
Asymmetric unit:
Mn1 0.000 0.000 0.000 (multiplicity 2)
Re1 0.000 0.500 0.284 (multiplicity 2)
Ir1 0.000 0.000 0.512 (multiplicity 2)
Ir2 0.000 0.500 0.721 (multiplicity 2)

***

The structure with the least stability is run x.

***

Run w
First-principles (PBE) data for an optimized crystal structure of MnReIr2, as listed in Alexandria.

Computed properties:
Magnetic moment in μB/cell: 4.64

Cell lengths 9.026, 2.717, 4.671 Å; angles 90.00, 99.60, 90.00 degrees
Space group C2/m (No. 12)
Asymmetric unit:
Mn1 0.000 0.000 0.000 (multiplicity 2)
Re1 0.000 0.500 0.500 (multiplicity 2)
Ir1 0.249 0.000 0.751 (multiplicity 4)

***

Run x
First-principles (PBE) data for an optimized crystal structure of MnReIr2, as listed in Alexandria.

Computed properties:
Magnetic moment in μB/cell: 0.01

Cell lengths 5.307, 5.307, 11.366 Å; angles 90.00, 90.00, 90.00 degrees
Space group I-42d (No. 122)
Asymmetric unit:
Mn1 0.000 0.000 0.000 (multiplicity 4)
Re1 0.000 0.000 0.500 (multiplicity 4)
Ir1 0.228 0.250 0.125 (multiplicity 8)

***

The structure with the least stability is run x.

***

Run w
First-principles (PBE) data for an optimized crystal structure of MnRe2Ir, as listed in Alexandria.

Computed properties:
Magnetic moment in μB/cell: 3.37

Cell lengths 8.948, 2.709, 4.739 Å; angles 90.00, 99.58, 90.00 degrees
Space group Cm (No. 8)
Asymmetric unit:
Mn1 0.000 0.000 0.000 (multiplicity 2)
Re1 0.000 0.500 0.497 (multiplicity 2)
Re2 0.254 0.000 0.759 (multiplicity 2)
Ir1 0.253 0.500 0.251 (multiplicity 2)

***

Run x
First-principles (PBE) data for an optimized crystal structure of MnRe2Ir, as listed in Alexandria.

Computed properties:
Magnetic moment in μB/cell: 0.00

Cell lengths 6.102, 6.102, 6.102 Å; angles 90.00, 90.00, 90.00 degrees
Space group Fm-3m (No. 225)
Asymmetric unit:
Mn1 0.000 0.000 0.000 (multiplicity 4)
Re1 0.250 0.250 0.250 (multiplicity 8)
Ir1 0.000 0.000 0.500 (multiplicity 4)

***

Run y
First-principles (PBE) data for an optimized crystal structure of MnRe2Ir, as listed in Alexandria.

Computed properties:
Magnetic moment in μB/cell: 0.00

Cell lengths 2.7202, 2.7202, 26.2126 Å; angles 90.00, 90.00, 120.00 degrees
Space group R-3m (No. 166, hexagonal axes)
Asymmetric unit:
Mn1 0.0000 0.0000 0.0000 (multiplicity 3)
Re1 0.0000 0.0000 0.2532 (multiplicity 6)
Ir1 0.0000 0.0000 0.5000 (multiplicity 3)

***

Run z
First-principles (PBE) data for an optimized crystal structure of MnRe2Ir, as listed in Alexandria.

Computed properties:
Magnetic moment in μB/cell: 2.28

Cell lengths 5.392, 7.725, 2.701 Å; angles 90.00, 90.00, 90.00 degrees
Space group Cmmm (No. 65)
Asymmetric unit:
Mn1 0.000 0.000 0.000 (multiplicity 2)
Re1 0.250 0.250 0.500 (multiplicity 4)
Ir1 0.000 0.500 0.000 (multiplicity 2)

***

The structure with the least stability is run x.

***

Run w
First-principles (PBE) data for an optimized crystal structure of MnRe2Ir, as listed in Alexandria.

Computed properties:
Magnetic moment in μB/cell: 1.75

Cell lengths 2.713, 3.826, 5.452 Å; angles 90.00, 90.00, 90.00 degrees
Space group Pmm2 (No. 25)
Asymmetric unit:
Mn1 0.000 0.000 0.000 (multiplicity 1)
Re1 0.000 0.000 0.501 (multiplicity 1)
Re2 0.500 0.500 0.239 (multiplicity 1)
Ir1 0.500 0.500 0.757 (multiplicity 1)

***

Run x
First-principles (PBE) data for an optimized crystal structure of MnRe2Ir, as listed in Alexandria.

Computed properties:
Magnetic moment in μB/cell: 1.16

Cell lengths 3.805, 3.805, 3.882 Å; angles 90.00, 90.00, 90.00 degrees
Space group P4/mmm (No. 123)
Asymmetric unit:
Mn1 0.000 0.000 0.000 (multiplicity 1)
Re1 0.000 0.500 0.500 (multiplicity 2)
Ir1 0.500 0.500 0.000 (multiplicity 1)

***

Run y
First-principles (PBE) data for an optimized crystal structure of MnRe2Ir, as listed in Alexandria.

Computed properties:
Magnetic moment in μB/cell: 4.93

Cell lengths 2.843, 4.439, 9.079 Å; angles 90.00, 90.00, 90.00 degrees
Space group Imm2 (No. 44)
Asymmetric unit:
Mn1 0.000 0.000 0.000 (multiplicity 2)
Re1 0.000 0.000 0.491 (multiplicity 2)
Re2 0.000 0.500 0.722 (multiplicity 2)
Ir1 0.000 0.500 0.271 (multiplicity 2)

***

The structure with the least stability is run y.

***

Run w
First-principles (PBE) data for an optimized crystal structure of MnRe2Ir, as listed in Alexandria.

Computed properties:
Magnetic moment in μB/cell: 1.20

Cell lengths 2.717, 2.717, 7.604 Å; angles 90.00, 90.00, 90.00 degrees
Space group P4mm (No. 99)
Asymmetric unit:
Mn1 0.000 0.000 0.000 (multiplicity 1)
Re1 0.000 0.000 0.502 (multiplicity 1)
Re2 0.500 0.500 0.232 (multiplicity 1)
Ir1 0.500 0.500 0.756 (multiplicity 1)

***

Run x
First-principles (PBE) data for an optimized crystal structure of MnRe2Ir, as listed in Alexandria.

Computed properties:
Magnetic moment in μB/cell: 2.43

Cell lengths 4.587, 4.587, 2.759 Å; angles 90.00, 90.00, 90.00 degrees
Space group P4/mmm (No. 123)
Asymmetric unit:
Mn1 0.000 0.000 0.000 (multiplicity 1)
Re1 0.000 0.500 0.500 (multiplicity 2)
Ir1 0.500 0.500 0.000 (multiplicity 1)

***

Run y
First-principles (PBE) data for an optimized crystal structure of MnRe2Ir, as listed in Alexandria.

Computed properties:
Magnetic moment in μB/cell: 1.42

Cell lengths 2.699, 4.155, 5.197 Å; angles 90.00, 104.93, 90.00 degrees
Space group Pm (No. 6)
Asymmetric unit:
Mn1 0.000 0.000 0.000 (multiplicity 1)
Re1 0.254 0.000 0.503 (multiplicity 1)
Re2 0.603 0.500 0.206 (multiplicity 1)
Ir1 0.869 0.500 0.735 (multiplicity 1)

***

Run z
First-principles (PBE) data for an optimized crystal structure of MnRe2Ir, as listed in Alexandria.

Computed properties:
Magnetic moment in μB/cell: 2.42

Cell lengths 3.850, 3.850, 7.588 Å; angles 90.00, 90.00, 90.00 degrees
Space group I-4m2 (No. 119)
Asymmetric unit:
Mn1 0.000 0.000 0.000 (multiplicity 2)
Re1 0.000 0.000 0.500 (multiplicity 2)
Re2 0.000 0.500 0.750 (multiplicity 2)
Ir1 0.000 0.500 0.250 (multiplicity 2)

***

The structure with the least stability is run x.

***

Run w
First-principles (PBE) data for an optimized crystal structure of MnRe2Ir, as listed in Alexandria.

Computed properties:
Magnetic moment in μB/cell: 2.45

Cell lengths 3.796, 3.796, 7.791 Å; angles 90.00, 90.00, 90.00 degrees
Space group I4/mmm (No. 139)
Asymmetric unit:
Mn1 0.000 0.000 0.000 (multiplicity 2)
Re1 0.000 0.500 0.250 (multiplicity 4)
Ir1 0.000 0.000 0.500 (multiplicity 2)

***

Run x
First-principles (PBE) data for an optimized crystal structure of MnRe2Ir, as listed in Alexandria.

Computed properties:
Magnetic moment in μB/cell: 13.57

Cell lengths 6.157, 6.157, 6.157 Å; angles 90.00, 90.00, 90.00 degrees
Space group F-43m (No. 216)
Asymmetric unit:
Mn1 0.000 0.000 0.000 (multiplicity 4)
Re1 0.000 0.000 0.500 (multiplicity 4)
Re2 0.250 0.250 0.750 (multiplicity 4)
Ir1 0.250 0.250 0.250 (multiplicity 4)

***

The structure with the least stability is run x.

***

Run w
First-principles (PBE) data for an optimized crystal structure of MnRe2Ir, as listed in Alexandria.

Computed properties:
Magnetic moment in μB/cell: 3.71

Cell lengths 9.039, 2.720, 4.682 Å; angles 90.00, 99.60, 90.00 degrees
Space group C2/m (No. 12)
Asymmetric unit:
Mn1 0.000 0.000 0.000 (multiplicity 2)
Re1 0.247 0.000 0.752 (multiplicity 4)
Ir1 0.000 0.500 0.500 (multiplicity 2)

***

Run x
First-principles (PBE) data for an optimized crystal structure of MnRe2Ir, as listed in Alexandria.

Computed properties:
Magnetic moment in μB/cell: 4.85

Cell lengths 2.7410, 2.7410, 26.2238 Å; angles 90.00, 90.00, 120.00 degrees
Space group R3m (No. 160, hexagonal axes)
Asymmetric unit:
Mn1 0.0000 0.0000 0.0000 (multiplicity 3)
Re1 0.0000 0.0000 0.2519 (multiplicity 3)
Re2 0.0000 0.0000 0.4996 (multiplicity 3)
Ir1 0.0000 0.0000 0.7457 (multiplicity 3)

***

The structure with the least stability is run x.

***

Run w
First-principles (PBE) data for an optimized crystal structure of MnRe2Ir, as listed in Alexandria.

Computed properties:
Magnetic moment in μB/cell: 0.44

Cell lengths 2.710, 3.776, 5.449 Å; angles 90.00, 90.12, 90.00 degrees
Space group P2/m (No. 10)
Asymmetric unit:
Mn1 0.000 0.000 0.000 (multiplicity 1)
Re1 0.499 0.500 0.231 (multiplicity 2)
Ir1 0.000 0.000 0.500 (multiplicity 1)

***

Run x
First-principles (PBE) data for an optimized crystal structure of MnRe2Ir, as listed in Alexandria.

Computed properties:
Magnetic moment in μB/cell: 12.35

Cell lengths 3.718, 3.718, 18.325 Å; angles 90.00, 90.00, 90.00 degrees
Space group I-42d (No. 122)
Asymmetric unit:
Mn1 0.000 0.000 0.000 (multiplicity 4)
Re1 0.221 0.250 0.125 (multiplicity 8)
Ir1 0.000 0.000 0.500 (multiplicity 4)

***

The structure with the least stability is run x.

***

Run w
First-principles (PBE) data for an optimized crystal structure of MnRe2Ir2, as listed in Alexandria.

Computed properties:
Magnetic moment in μB/cell: 6.30

Cell lengths 7.594, 7.594, 2.724 Å; angles 90.00, 90.00, 90.00 degrees
Space group P4/mbm (No. 127)
Asymmetric unit:
Mn1 0.000 0.000 0.000 (multiplicity 2)
Re1 0.172 0.328 0.500 (multiplicity 4)
Ir1 0.124 0.624 0.000 (multiplicity 4)

***

Run x
First-principles (PBE) data for an optimized crystal structure of MnRe2Ir2, as listed in Alexandria.

Computed properties:
Magnetic moment in μB/cell: 0.82

Cell lengths 3.540, 3.540, 12.897 Å; angles 90.00, 90.00, 90.00 degrees
Space group I4/mmm (No. 139)
Asymmetric unit:
Mn1 0.000 0.000 0.000 (multiplicity 2)
Re1 0.000 0.500 0.250 (multiplicity 4)
Ir1 0.000 0.000 0.404 (multiplicity 4)

***

The structure with the least stability is run x.